A PBEsol-optimized structure of ScMoW2, computed with meta-GGA SCAN.

```
ScMoW2
1.0
2.746 0.000 0.000
0.000 4.556 0.000
-0.954 0.000 5.204
Sc Mo W
1 1 2
Direct
0.000 0.000 0.000 Sc
0.500 0.000 0.500 Mo
0.274 0.500 0.747 W
0.726 0.500 0.253 W
```

Results
D(E_F) = 3.0 states/eV per cell
Electronic total energy = -46.97 eV/atom
Polymorph energy (0 for the lowest one) = 0 meV per atom
Crystal system = monoclinic